GaCoH2BrO: relaxed, GGA+U.

Computed properties:
E above lowest polymorph ... 72 meV/atom
DOS(E_F) ... 2.59 states/eV per cell

```
GaCoH2BrO
1.0
5.807 0.000 0.005
0.000 3.228 0.000
-3.795 0.000 9.477
Br Ga H Co O
2 2 4 2 2
Cartesian
1.686 1.614 2.507
-0.211 0.000 7.246
1.324 0.000 9.139
3.222 1.614 4.401
-0.883 1.614 4.067
4.663 0.000 2.597
2.765 1.614 7.335
-2.781 0.000 8.806
-2.898 0.000 7.242
-1.000 1.614 2.504
2.918 0.000 5.308
4.816 1.614 0.570
```